{
  "formula": "SrMgZn",
  "functional": "PBE",
  "state": "optimized geometry",
  "magmom_total_mub_per_cell": 0.00,
  "e_form_ev_per_atom": -0.161,
  "energy_ha_per_atom": -0.062,
  "lattice_angstrom": [[6.858, 0.000, 0.000], [0.000, 6.137, 0.000], [-3.196, 0.000, 8.092]],
  "species": ["Sr", "Sr", "Sr", "Sr", "Mg", "Mg", "Mg", "Mg", "Zn", "Zn", "Zn", "Zn"],
  "frac_coords": [[0.178, 0.110, 0.372], [0.178, 0.390, 0.872], [0.822, 0.610, 0.128], [0.822, 0.890, 0.628], [0.413, 0.606, 0.300], [0.413, 0.894, 0.800], [0.587, 0.106, 0.200], [0.587, 0.394, 0.700], [0.189, 0.606, 0.527], [0.189, 0.894, 0.027], [0.811, 0.106, 0.973], [0.811, 0.394, 0.473]]
}

***

{
  "formula": "Sr3Mg2Zn2",
  "functional": "PBE",
  "state": "optimized geometry",
  "magmom_total_mub_per_cell": 0.00,
  "e_form_ev_per_atom": -0.129,
  "energy_ha_per_atom": -0.061,
  "lattice_angstrom": [[6.905, 0.000, 0.000], [0.000, 8.194, 0.000], [0.000, 0.000, 15.738]],
  "species": ["Sr", "Sr", "Sr", "Sr", "Sr", "Sr", "Sr", "Sr", "Sr", "Sr", "Sr", "Sr", "Mg", "Mg", "Mg", "Mg", "Mg", "Mg", "Mg", "Mg", "Zn", "Zn", "Zn", "Zn", "Zn", "Zn", "Zn", "Zn"],
  "frac_coords": [[0.095, 0.081, 0.110], [0.095, 0.081, 0.390], [0.095, 0.419, 0.610], [0.095, 0.419, 0.890], [0.374, 0.726, 0.250], [0.374, 0.774, 0.750], [0.626, 0.226, 0.250], [0.626, 0.274, 0.750], [0.905, 0.581, 0.110], [0.905, 0.581, 0.390], [0.905, 0.919, 0.610], [0.905, 0.919, 0.890], [0.396, 0.067, 0.578], [0.396, 0.067, 0.922], [0.396, 0.433, 0.078], [0.396, 0.433, 0.422], [0.604, 0.567, 0.578], [0.604, 0.567, 0.922], [0.604, 0.933, 0.078], [0.604, 0.933, 0.422], [0.176, 0.129, 0.750], [0.176, 0.371, 0.250], [0.300, 0.750, 0.000], [0.300, 0.750, 0.500], [0.700, 0.250, 0.000], [0.700, 0.250, 0.500], [0.824, 0.629, 0.750], [0.824, 0.871, 0.250]]
}

***

{
  "formula": "SrMgZn10",
  "functional": "PBE",
  "state": "optimized geometry",
  "magmom_total_mub_per_cell": 0.00,
  "e_form_ev_per_atom": -0.101,
  "energy_ha_per_atom": -0.053,
  "lattice_angstrom": [[4.332, 0.000, 0.000], [0.000, 5.297, 0.000], [0.000, 0.000, 9.368]],
  "species": ["Sr", "Mg", "Zn", "Zn", "Zn", "Zn", "Zn", "Zn", "Zn", "Zn", "Zn", "Zn"],
  "frac_coords": [[0.000, 0.000, 0.000], [0.000, 0.500, 0.500], [0.000, 0.000, 0.349], [0.000, 0.000, 0.651], [0.000, 0.500, 0.192], [0.000, 0.500, 0.808], [0.500, 0.000, 0.500], [0.500, 0.248, 0.251], [0.500, 0.248, 0.749], [0.500, 0.500, 0.000], [0.500, 0.752, 0.251], [0.500, 0.752, 0.749]]
}